Entry w
# ScCdInCo | OQMD | PBE | optimized geometry
data_ScCdInCo
_space_group_name_H-M_alt 'F -4 3 m'
_space_group_IT_number 216
_space_group_name_Hall 'F -4 2 3'
_cell_length_a 6.632
_cell_length_b 6.632
_cell_length_c 6.632
_cell_angle_alpha 90.00
_cell_angle_beta 90.00
_cell_angle_gamma 90.00
loop_
_atom_site_label
_atom_site_type_symbol
_atom_site_fract_x
_atom_site_fract_y
_atom_site_fract_z
Sc1 Sc 0.000 0.000 0.000
Cd1 Cd 0.250 0.250 0.250
In1 In 0.000 0.000 0.500
Co1 Co 0.250 0.250 0.750
# Theoretical density   7.54 g cm⁻³
# Crystal system   cubic


Entry x
# ScCdInCo | OQMD | PBE | optimized geometry
data_ScCdInCo
_space_group_name_H-M_alt 'F -4 3 m'
_space_group_IT_number 216
_space_group_name_Hall 'F -4 2 3'
_cell_length_a 6.593
_cell_length_b 6.593
_cell_length_c 6.593
_cell_angle_alpha 90.00
_cell_angle_beta 90.00
_cell_angle_gamma 90.00
loop_
_atom_site_label
_atom_site_type_symbol
_atom_site_fract_x
_atom_site_fract_y
_atom_site_fract_z
Sc1 Sc 0.000 0.000 0.000
Cd1 Cd 0.250 0.250 0.750
In1 In 0.250 0.250 0.250
Co1 Co 0.000 0.000 0.500
# Theoretical density   7.67 g cm⁻³
# Crystal system   cubic


Most stable to least stable: entry w, entry x